## YNbPb2 (PBE)

Data for a geometry-optimized YNbPb2 structure.

```
data_YNbPb2
_chemical_formula_sum 'Y4 Nb4 Pb8'
_symmetry_space_group_name_H-M 'F m -3 m'
_symmetry_Int_Tables_number 225
_symmetry_space_group_name_Hall '-F 4 2 3'
_cell_length_a 7.348
_cell_length_b 7.348
_cell_length_c 7.348
_cell_angle_alpha 90.00
_cell_angle_beta 90.00
_cell_angle_gamma 90.00
loop_
_atom_site_label
_atom_site_fract_x
_atom_site_fract_y
_atom_site_fract_z
_atom_site_occupancy
Y1 0.000 0.000 0.000 1
Nb1 0.000 0.000 0.500 1
Pb1 0.250 0.250 0.250 1
```

Properties
crystal system	cubic
formation energy	0.11	eV per atom


## HfInGa (PBE)

Data for a geometry-optimized HfInGa structure.

```
data_HfInGa
_chemical_formula_sum 'Hf2 In2 Ga2'
_symmetry_space_group_name_H-M 'P 1 21/m 1'
_symmetry_Int_Tables_number 11
_symmetry_space_group_name_Hall '-P 2yb'
_cell_length_a 3.215
_cell_length_b 4.237
_cell_length_c 9.858
_cell_angle_alpha 90.00
_cell_angle_beta 99.25
_cell_angle_gamma 90.00
loop_
_atom_site_label
_atom_site_fract_x
_atom_site_fract_y
_atom_site_fract_z
_atom_site_occupancy
Hf1 0.200 0.250 0.400 1
In1 0.439 0.750 0.890 1
Ga1 0.347 0.250 0.693 1
```

Properties
crystal system	monoclinic
polymorph energy (0 for the lowest one)	0.00	kcal/mol of atoms
formation energy	-0.17	eV per atom


## CsCdPt3 (PBE)

Data for a geometry-optimized CsCdPt3 structure.

```
data_CsCdPt3
_chemical_formula_sum 'Cs1 Cd1 Pt3'
_symmetry_space_group_name_H-M 'P m -3 m'
_symmetry_Int_Tables_number 221
_symmetry_space_group_name_Hall '-P 4 2 3'
_cell_length_a 5.161
_cell_length_b 5.161
_cell_length_c 5.161
_cell_angle_alpha 90.00
_cell_angle_beta 90.00
_cell_angle_gamma 90.00
loop_
_atom_site_label
_atom_site_fract_x
_atom_site_fract_y
_atom_site_fract_z
_atom_site_occupancy
Cs1 0.000 0.000 0.000 1
Cd1 0.500 0.500 0.500 1
Pt1 0.000 0.500 0.500 1
```

Properties
crystal system	cubic
polymorph energy (0 for the lowest one)	0.00	kcal/mol of atoms
formation energy	0.80	eV per atom


## Ba2CoP (PBE)

Data for a geometry-optimized Ba2CoP structure.

```
data_Ba2CoP
_chemical_formula_sum 'Ba2 Co1 P1'
_symmetry_space_group_name_H-M 'P m m m'
_symmetry_Int_Tables_number 47
_symmetry_space_group_name_Hall '-P 2 2'
_cell_length_a 3.879
_cell_length_b 4.069
_cell_length_c 7.776
_cell_angle_alpha 90.00
_cell_angle_beta 90.00
_cell_angle_gamma 90.00
loop_
_atom_site_label
_atom_site_fract_x
_atom_site_fract_y
_atom_site_fract_z
_atom_site_occupancy
Ba1 0.000 0.000 0.229 1
Co1 0.500 0.500 0.500 1
P1 0.500 0.500 0.000 1
```

Properties
crystal system	orthorhombic
formation energy	0.01	eV per atom


## LuScPd4 (PBE)

Data for a geometry-optimized LuScPd4 structure.

```
data_LuScPd4
_chemical_formula_sum 'Lu4 Sc4 Pd16'
_symmetry_space_group_name_H-M 'F -4 3 m'
_symmetry_Int_Tables_number 216
_symmetry_space_group_name_Hall 'F -4 2 3'
_cell_length_a 7.566
_cell_length_b 7.566
_cell_length_c 7.566
_cell_angle_alpha 90.00
_cell_angle_beta 90.00
_cell_angle_gamma 90.00
loop_
_atom_site_label
_atom_site_fract_x
_atom_site_fract_y
_atom_site_fract_z
_atom_site_occupancy
Lu1 0.000 0.000 0.000 1
Sc1 0.250 0.250 0.250 1
Pd1 0.125 0.125 0.625 1
```

Properties
crystal system	cubic
formation energy	-0.75	eV per atom


## PuUTe (PBE)

Data for a geometry-optimized PuUTe structure.

```
data_PuUTe
_chemical_formula_sum 'Pu2 U2 Te2'
_symmetry_space_group_name_H-M 'I 4 m m'
_symmetry_Int_Tables_number 107
_symmetry_space_group_name_Hall 'I 4 -2'
_cell_length_a 3.643
_cell_length_b 3.643
_cell_length_c 10.122
_cell_angle_alpha 90.00
_cell_angle_beta 90.00
_cell_angle_gamma 90.00
loop_
_atom_site_label
_atom_site_fract_x
_atom_site_fract_y
_atom_site_fract_z
_atom_site_occupancy
Pu1 0.000 0.000 0.000 1
U1 0.000 0.000 0.600 1
Te1 0.000 0.000 0.301 1
```

Properties
E_form (uncorrected)	-20	kJ/mol of atoms
crystal system	tetragonal
polymorph energy (0 for the lowest one)	1.35	kcal/mol of atoms


## TaSbTe2N (PBE)

Data for a geometry-optimized TaSbTe2N structure.

```
data_TaSbTe2N
_chemical_formula_sum 'Ta1 Sb1 Te2 N1'
_symmetry_space_group_name_H-M 'P 4/m m m'
_symmetry_Int_Tables_number 123
_symmetry_space_group_name_Hall '-P 4 2'
_cell_length_a 5.600
_cell_length_b 5.600
_cell_length_c 3.918
_cell_angle_alpha 90.00
_cell_angle_beta 90.00
_cell_angle_gamma 90.00
loop_
_atom_site_label
_atom_site_fract_x
_atom_site_fract_y
_atom_site_fract_z
_atom_site_occupancy
Ta1 0.000 0.000 0.000 1
Sb1 0.500 0.500 0.500 1
Te1 0.000 0.500 0.000 1
N1 0.000 0.000 0.500 1
```

Properties
E_form (uncorrected)	11	kJ/mol of atoms
crystal system	tetragonal
polymorph energy (0 for the lowest one)	0.00	kcal/mol of atoms


## ScInO2F (PBE)

Data for a geometry-optimized ScInO2F structure.

```
data_ScInO2F
_chemical_formula_sum 'Sc1 In1 O2 F1'
_symmetry_space_group_name_H-M 'P 4/m m m'
_symmetry_Int_Tables_number 123
_symmetry_space_group_name_Hall '-P 4 2'
_cell_length_a 4.169
_cell_length_b 4.169
_cell_length_c 4.024
_cell_angle_alpha 90.00
_cell_angle_beta 90.00
_cell_angle_gamma 90.00
loop_
_atom_site_label
_atom_site_fract_x
_atom_site_fract_y
_atom_site_fract_z
_atom_site_occupancy
Sc1 0.000 0.000 0.000 1
In1 0.500 0.500 0.500 1
O1 0.000 0.500 0.000 1
F1 0.000 0.000 0.500 1
```

Properties
E_form (uncorrected)	-224	kJ/mol of atoms
crystal system	tetragonal


## SiSN (PBE)

Data for a geometry-optimized SiSN structure.

```
data_SiSN
_chemical_formula_sum 'Si1 S1 N1'
_symmetry_space_group_name_H-M 'P 1'
_symmetry_Int_Tables_number 1
_symmetry_space_group_name_Hall 'P 1'
_cell_length_a 2.904
_cell_length_b 2.907
_cell_length_c 6.637
_cell_angle_alpha 89.27
_cell_angle_beta 89.58
_cell_angle_gamma 60.03
loop_
_atom_site_label
_atom_site_fract_x
_atom_site_fract_y
_atom_site_fract_z
_atom_site_occupancy
Si1 0.000 0.000 0.000 1
S1 0.000 0.010 0.675 1
N1 0.666 0.664 0.080 1
```

Properties
E_form (uncorrected)	-44	kJ/mol of atoms
crystal system	triclinic
polymorph energy (0 for the lowest one)	0.93	kcal/mol of atoms


## AlCd2SiAu6 (PBE)

Data for a geometry-optimized AlCd2SiAu6 structure.

```
data_AlCd2SiAu6
_chemical_formula_sum 'Al1 Cd2 Si1 Au6'
_symmetry_space_group_name_H-M 'P -1'
_symmetry_Int_Tables_number 2
_symmetry_space_group_name_Hall '-P 1'
_cell_length_a 5.200
_cell_length_b 6.615
_cell_length_c 6.773
_cell_angle_alpha 67.54
_cell_angle_beta 69.91
_cell_angle_gamma 68.23
loop_
_atom_site_label
_atom_site_fract_x
_atom_site_fract_y
_atom_site_fract_z
_atom_site_occupancy
Al1 0.000 0.000 0.000 1
Cd1 0.247 0.391 0.112 1
Si1 0.500 0.500 0.500 1
Au1 0.022 0.722 0.392 1
Au2 0.254 0.784 0.711 1
Au3 0.478 0.112 0.780 1
```

Properties
E_form (uncorrected)	-11	kJ/mol of atoms
crystal system	triclinic


## Cd2AgOs (PBE)

Data for a geometry-optimized Cd2AgOs structure.

```
data_Cd2AgOs
_chemical_formula_sum 'Cd2 Ag1 Os1'
_symmetry_space_group_name_H-M 'P 4 m m'
_symmetry_Int_Tables_number 99
_symmetry_space_group_name_Hall 'P 4 -2'
_cell_length_a 2.873
_cell_length_b 2.873
_cell_length_c 8.877
_cell_angle_alpha 90.00
_cell_angle_beta 90.00
_cell_angle_gamma 90.00
loop_
_atom_site_label
_atom_site_fract_x
_atom_site_fract_y
_atom_site_fract_z
_atom_site_occupancy
Cd1 0.000 0.000 0.000 1
Cd2 0.500 0.500 0.282 1
Ag1 0.500 0.500 0.748 1
Os1 0.000 0.000 0.517 1
```

Properties
crystal system	tetragonal
polymorph energy (0 for the lowest one)	3.74	kcal/mol of atoms
formation energy	0.51	eV per atom


## CaZnW2 (PBE)

Data for a geometry-optimized CaZnW2 structure.

```
data_CaZnW2
_chemical_formula_sum 'Ca2 Zn2 W4'
_symmetry_space_group_name_H-M 'C m m m'
_symmetry_Int_Tables_number 65
_symmetry_space_group_name_Hall '-C 2 2'
_cell_length_a 3.575
_cell_length_b 4.119
_cell_length_c 9.580
_cell_angle_alpha 90.00
_cell_angle_beta 90.00
_cell_angle_gamma 90.00
loop_
_atom_site_label
_atom_site_fract_x
_atom_site_fract_y
_atom_site_fract_z
_atom_site_occupancy
Ca1 0.000 0.000 0.000 1
Zn1 0.000 0.000 0.500 1
W1 0.000 0.500 0.279 1
```

Properties
crystal system	orthorhombic
formation energy	0.64	eV per atom